The following is a PBE calculation of crystalline VCr2W at its relaxed geometry, from Alexandria via LeMat-Bulk.

Structure (CIF):
```
data_VCr2W
_cell_length_a 6.614
_cell_length_b 6.614
_cell_length_c 5.152
_cell_angle_alpha 90.00
_cell_angle_beta 90.00
_cell_angle_gamma 90.00
_space_group_name_H-M_alt 'I -4 2 d'
_space_group_IT_number 122
_space_group_name_Hall 'I -4 2bw'
loop_
_atom_site_label
_atom_site_type_symbol
_atom_site_fract_x
_atom_site_fract_y
_atom_site_fract_z
V1 V 0.000 0.000 0.000
Cr1 Cr 0.240 0.250 0.125
W1 W 0.000 0.000 0.500
```

***

The following is a PBE calculation of crystalline Li2Pr2NdSb2 at its relaxed geometry, from Alexandria via LeMat-Bulk.

Values from the calculation:
Formation energy (no corrections) ... -0.6192 eV/atom

Structure (CIF):
```
data_Li2Pr2NdSb2
_cell_length_a 4.7937
_cell_length_b 4.7937
_cell_length_c 28.1866
_cell_angle_alpha 90.00
_cell_angle_beta 90.00
_cell_angle_gamma 120.00
_space_group_name_H-M_alt 'R -3 m'
_space_group_IT_number 166
_space_group_name_Hall '-R 3 2"'
loop_
_atom_site_label
_atom_site_type_symbol
_atom_site_fract_x
_atom_site_fract_y
_atom_site_fract_z
Li1 Li 0.0000 0.0000 0.0955
Pr1 Pr 0.0000 0.0000 0.3704
Nd1 Nd 0.0000 0.0000 0.5000
Sb1 Sb 0.0000 0.0000 0.2341
```

***

| no. | electronic total energy (eV per formula unit) | total magnetization (μB per formula unit) |
| --- | --- | --- |
| 1 | -38.3 | 0.0 |
| 2 | -30.7 | 0.0 |